Record 1
8
Lattice="12.179 0.000 0.000 0.000 3.565 0.000 -1.876 0.000 5.338" Properties=species:S:1:pos:R:3 comment="Sr2CdTc (PBE, relaxed)" crystal_system=monoclinic ef_ev_per_atom=0.448 pbc="T T T"
Sr 0.000 0.000 0.000
Sr 1.209 0.000 3.446
Sr 6.089 1.783 0.000
Sr 7.298 1.783 3.446
Cd 4.374 0.000 2.314
Cd 10.463 1.783 2.314
Tc 2.710 1.783 0.920
Tc 8.799 0.000 0.920


Record 2
10
Lattice="3.187 1.840 6.355 -3.187 1.840 6.355 0.000 -3.680 6.355" Properties=species:S:1:pos:R:3 comment="ErTmAl2S6 (PBE, relaxed)" crystal_system=trigonal pbc="T T T"
Er 0.000 0.000 0.000
Tm 0.000 0.000 9.532
Al 0.000 0.000 6.223
Al 0.000 0.000 12.842
S -1.116 -1.665 7.739
S -1.999 0.134 11.325
S -0.884 1.799 7.739
S 0.884 -1.799 11.325
S 1.999 -0.134 7.739
S 1.116 1.665 11.325


Record 3
8
Lattice="3.848 0.000 0.000 0.000 3.848 0.000 0.000 0.000 8.371" Properties=species:S:1:pos:R:3 comment="TlNiOs2 (PBE, relaxed)" polymorph_energy_mev_per_atom=426 crystal_system=tetragonal ef_ev_per_atom=0.895 pbc="T T T"
Tl 0.000 0.000 0.000
Tl 1.924 1.924 4.186
Ni 0.000 0.000 4.186
Ni 1.924 1.924 0.000
Os 0.000 1.924 2.093
Os 0.000 1.924 6.279
Os 1.924 0.000 2.093
Os 1.924 0.000 6.279


Record 4
14
Lattice="-3.884 3.884 3.983 3.884 -3.884 3.983 3.884 3.884 -3.983" Properties=species:S:1:pos:R:3 comment="CdCu5Au8 (PBE, relaxed)" crystal_system=tetragonal ef_ev_per_atom=0.057 pbc="T T T"
Cd 0.000 0.000 0.000
Cu 2.158 -1.002 2.737
Cu 2.881 1.726 1.246
Cu 1.726 4.886 -1.246
Cu 0.000 3.884 1.991
Cu 1.002 2.158 5.228
Au 5.109 0.769 0.161
Au 3.334 2.556 -1.392
Au 0.769 2.658 -0.161
Au 0.550 1.328 2.591
Au 1.328 -0.550 5.374
Au 3.115 1.225 3.821
Au 2.556 4.434 1.392
Au -1.225 3.115 4.144


Record 5
8
Lattice="3.074 0.000 0.000 0.000 4.470 0.000 0.000 0.000 8.621" Properties=species:S:1:pos:R:3 comment="Zn2RhW (PBE, relaxed)" polymorph_energy_mev_per_atom=192 crystal_system=orthorhombic ef_ev_per_atom=0.089 pbc="T T T"
Zn 0.000 0.000 2.058
Zn 0.000 0.000 6.563
Zn 1.537 2.235 2.058
Zn 1.537 2.235 6.563
Rh 0.000 2.235 0.000
Rh 1.537 0.000 0.000
W 0.000 2.235 4.310
W 1.537 0.000 4.310


Record 6
16
Lattice="10.772 0.000 0.000 0.000 6.597 0.000 0.000 0.000 6.681" Properties=species:S:1:pos:R:3 comment="Pr3ScTl4 (PBE, relaxed)" polymorph_energy_mev_per_atom=120 crystal_system=orthorhombic ef_ev_per_atom=-0.245 pbc="T T T"
Pr 0.000 0.604 0.000
Pr 2.434 4.772 1.357
Pr 2.952 1.825 4.698
Pr 5.386 5.993 3.341
Pr 7.820 1.825 4.698
Pr 8.338 4.772 1.357
Sc 0.000 3.786 5.706
Sc 5.386 2.811 2.366
Tl 0.000 3.037 2.757
Tl 0.000 6.524 3.297
Tl 2.536 5.113 4.729
Tl 2.851 1.484 1.388
Tl 5.386 0.073 6.637
Tl 5.386 3.560 6.097
Tl 7.922 1.484 1.388
Tl 8.237 5.113 4.729


| no. | raw total energy (Ry/atom) |
| --- | --- |
| 1 | -0.23616 |
| 2 | -0.41549 |
| 3 | -0.49659 |
| 4 | -0.24575 |
| 5 | -0.41338 |
| 6 | -0.29486 |